# La2Tl

A geometry-optimized La2Tl structure (PBE-GGA, Alexandria).

The value obtained for the density of states at the Fermi level is 1.18 states/eV/atom. The total energy is -4.261 eV/atom. As for the total moment: 0.0 Bohr magnetons per cell. The value obtained for the formation energy is -188 meV/atom.

It has space group Cm (No. 8), with a = 12.775 Å, b = 3.774 Å, c = 8.587 Å, α = 90.00°, β = 106.36° and γ = 90.00°. The distinct sites, in fractional coordinates, are La at (0.000, 0.000, 0.000), La at (0.021, 0.000, 0.572), La at (0.178, 0.500, 0.325), La at (0.301, 0.000, 0.680), Tl at (0.204, 0.500, 0.931) and Tl at (0.382, 0.000, 0.242).

---

# La3Tl2

A geometry-optimized La3Tl2 structure (PBE-GGA, Alexandria).

The value obtained for the density of states at the Fermi level is 1.47 states/eV/atom. The total energy is -4.121 eV/atom. As for the total moment: 0.0 Bohr magnetons per cell. The value obtained for the formation energy is -218 meV/atom.

It has space group P-3m1 (No. 164), with a = 5.4980 Å, b = 5.4980 Å, c = 6.7736 Å, α = 90.00°, β = 90.00° and γ = 120.00°. The distinct sites, in fractional coordinates, are La at (0.0000, 0.0000, 0.0000), La at (0.3333, 0.6667, 0.3472) and Tl at (0.3333, 0.6667, 0.8342).

---

# La13Tl2

A geometry-optimized La13Tl2 structure (PBE-GGA, Alexandria).

The value obtained for the density of states at the Fermi level is 1.56 states/eV/atom. The total energy is -4.680 eV/atom. As for the total moment: 0.0 Bohr magnetons per cell. The value obtained for the formation energy is -94 meV/atom.

It has space group P-1 (No. 2), with a = 6.416 Å, b = 8.363 Å, c = 10.635 Å, α = 71.48°, β = 74.76° and γ = 83.48°. The distinct sites, in fractional coordinates, are La at (0.000, 0.000, 0.000), La at (0.055, 0.404, 0.727), La at (0.199, 0.183, 0.222), La at (0.263, 0.593, 0.944), La at (0.311, 0.008, 0.651), La at (0.441, 0.389, 0.404), La at (0.476, 0.796, 0.140) and Tl at (0.138, 0.786, 0.463).

---

# La5Tl3

A geometry-optimized La5Tl3 structure (PBE-GGA, Alexandria).

The value obtained for the density of states at the Fermi level is 1.05 states/eV/atom. The total energy is -4.322 eV/atom. As for the total moment: 0.0 Bohr magnetons per cell. The value obtained for the formation energy is -355 meV/atom.

It has space group I4/mcm (No. 140), with a = 12.867 Å, b = 12.867 Å, c = 6.390 Å, α = 90.00°, β = 90.00° and γ = 90.00°. The distinct sites, in fractional coordinates, are La at (0.000, 0.500, 0.250), La at (0.086, 0.220, 0.000), Tl at (0.000, 0.000, 0.250) and Tl at (0.161, 0.339, 0.500).

---

# La2Tl

A geometry-optimized La2Tl structure (PBE-GGA, Alexandria).

The value obtained for the density of states at the Fermi level is 1.43 states/eV/atom. The total energy is -4.290 eV/atom. As for the total moment: 7.5 Bohr magnetons per cell. The value obtained for the formation energy is -216 meV/atom.

It has space group I4/mcm (No. 140), with a = 7.891 Å, b = 7.891 Å, c = 6.773 Å, α = 90.00°, β = 90.00° and γ = 90.00°. The distinct sites, in fractional coordinates, are La at (0.159, 0.341, 0.000) and Tl at (0.000, 0.000, 0.250).

---

# La3Tl2

A geometry-optimized La3Tl2 structure (PBE-GGA, Alexandria).

The value obtained for the density of states at the Fermi level is 1.07 states/eV/atom. The total energy is -4.097 eV/atom. As for the total moment: 0.0 Bohr magnetons per cell. The value obtained for the formation energy is -194 meV/atom.

It has space group R-3m (No. 166, hexagonal axes), with a = 3.8242 Å, b = 3.8242 Å, c = 40.1586 Å, α = 90.00°, β = 90.00° and γ = 120.00°. The distinct sites, in fractional coordinates, are La at (0.0000, 0.0000, 0.0000), La at (0.0000, 0.0000, 0.2028) and Tl at (0.0000, 0.0000, 0.3988).

---

# La2Tm3Tl2

A geometry-optimized La2Tm3Tl2 structure (PBE-GGA, Alexandria).

The value obtained for the density of states at the Fermi level is 1.20 states/eV/atom. The total energy is -4.172 eV/atom. As for the total moment: 0.0 Bohr magnetons per cell. The value obtained for the formation energy is -172 meV/atom.

It has space group C2/m (No. 12), with a = 12.333 Å, b = 4.695 Å, c = 8.246 Å, α = 90.00°, β = 110.32° and γ = 90.00°. The distinct sites, in fractional coordinates, are La at (0.138, 0.000, 0.289), Tm at (0.000, 0.500, 0.500), Tm at (0.127, 0.500, 0.944) and Tl at (0.161, 0.000, 0.713).

---

# LaTmTl

A geometry-optimized LaTmTl structure (PBE-GGA, Alexandria).

The value obtained for the density of states at the Fermi level is 1.29 states/eV/atom. The total energy is -4.174 eV/atom. As for the total moment: 0.0 Bohr magnetons per cell. The value obtained for the formation energy is -252 meV/atom.

It has space group P6_3/mmc (No. 194), with a = 5.4972 Å, b = 5.4972 Å, c = 6.8588 Å, α = 90.00°, β = 90.00° and γ = 120.00°. The distinct sites, in fractional coordinates, are La at (0.0000, 0.0000, 0.0000), Tm at (0.3333, 0.6667, 0.2500) and Tl at (0.3333, 0.6667, 0.7500).

---

# La3Tm2Tl4

A geometry-optimized La3Tm2Tl4 structure (PBE-GGA, Alexandria).

The value obtained for the density of states at the Fermi level is 0.99 states/eV/atom. The total energy is -3.954 eV/atom. As for the total moment: 0.8 Bohr magnetons per cell. The value obtained for the formation energy is -266 meV/atom.

It has space group C2/c (No. 15), with a = 15.823 Å, b = 11.113 Å, c = 6.298 Å, α = 90.00°, β = 96.08° and γ = 90.00°. The distinct sites, in fractional coordinates, are La at (0.000, 0.039, 0.250), La at (0.110, 0.400, 0.432), Tm at (0.221, 0.130, 0.141), Tl at (0.072, 0.286, 0.939) and Tl at (0.174, 0.132, 0.629).

---

# La3Tm6Tl

A geometry-optimized La3Tm6Tl structure (PBE-GGA, Alexandria).

The value obtained for the density of states at the Fermi level is 1.35 states/eV/atom. The total energy is -4.313 eV/atom. As for the total moment: 0.0 Bohr magnetons per cell. The value obtained for the formation energy is 85 meV/atom.

It has space group Cmc2_1 (No. 36), with a = 13.284 Å, b = 15.505 Å, c = 6.347 Å, α = 90.00°, β = 90.00° and γ = 90.00°. The distinct sites, in fractional coordinates, are La at (0.000, 0.140, 0.000), La at (0.200, 0.412, 0.660), Tm at (0.000, 0.254, 0.505), Tm at (0.000, 0.453, 0.332), Tm at (0.119, 0.059, 0.500), Tm at (0.207, 0.303, 0.192) and Tl at (0.000, 0.345, 0.943).

---

# La5Tm2Tl4

A geometry-optimized La5Tm2Tl4 structure (PBE-GGA, Alexandria).

The value obtained for the density of states at the Fermi level is 1.28 states/eV/atom. The total energy is -4.141 eV/atom. As for the total moment: 0.5 Bohr magnetons per cell. The value obtained for the formation energy is -228 meV/atom.

It has space group P2/m (No. 10), with a = 8.967 Å, b = 3.470 Å, c = 10.929 Å, α = 90.00°, β = 95.57° and γ = 90.00°. The distinct sites, in fractional coordinates, are La at (0.000, 0.000, 0.000), La at (0.034, 0.000, 0.338), La at (0.341, 0.000, 0.863), Tm at (0.422, 0.000, 0.361), Tl at (0.265, 0.500, 0.573) and Tl at (0.300, 0.500, 0.132).

---

# LaTm5Tl2

A geometry-optimized LaTm5Tl2 structure (PBE-GGA, Alexandria).

The value obtained for the density of states at the Fermi level is 1.50 states/eV/atom. The total energy is -4.133 eV/atom. As for the total moment: 1.1 Bohr magnetons per cell. The value obtained for the formation energy is -130 meV/atom.

It has space group Immm (No. 71), with a = 3.658 Å, b = 10.297 Å, c = 12.717 Å, α = 90.00°, β = 90.00° and γ = 90.00°. The distinct sites, in fractional coordinates, are La at (0.000, 0.000, 0.000), Tm at (0.000, 0.226, 0.366), Tm at (0.000, 0.500, 0.000) and Tl at (0.000, 0.500, 0.257).